Ac2ZnGa3 | PBE-GGA | relaxed

Output
Crystal system: orthorhombic
Volume in A^3/atom: 26.1
Final energy in eV for the cell shown: -21.88
Magnetic moment in μB per cell: 0.02

Lattice parameters (Å, degrees): 4.400 4.648 7.671 90.00 90.00 90.00
Element x y z (fractional)
Ac: 0.000 0.000 0.000
Ac: 0.500 0.000 0.491
Zn: 0.000 0.500 0.663
Ga: 0.000 0.500 0.331
Ga: 0.500 0.500 0.159
Ga: 0.500 0.500 0.825